Entry 1:
KReTe4: optimized geometry, GGA-PBE.

a = 9.1976 Å, b = 9.1976 Å, c = 9.1976 Å
α = 90.00°, β = 90.00°, γ = 90.00°
With the nearest neighbours (Å) after each atom.
Space group F-43m (No. 216)
Asymmetric unit:
K 0.0000 0.0000 0.0000 (multiplicity 4)  12 Te 3.82, 4 Re 3.98
Re 0.2500 0.2500 0.7500 (multiplicity 4)  12 Te 3.81, 4 K 3.98
Te 0.1242 0.1242 0.3758 (multiplicity 16)  6 Te 3.23-3.27

uncorrected formation energy	0.892	eV/atom
Fermi-level density of states	2.08	states/eV/f.u.



Entry 2:
MnCrBPdAu: optimized geometry, GGA-PBE.

a = 2.9364 Å, b = 2.8977 Å, c = 15.6370 Å
α = 90.00°, β = 90.00°, γ = 90.00°
With the nearest neighbours (Å) after each atom.
Space group Amm2 (No. 38)
Asymmetric unit:
Mn 0.0000 0.0000 0.0000 (multiplicity 2)  2 B 2.24
Cr 0.5000 0.0000 0.8674 (multiplicity 2)  4 B 2.09
B 0.0000 0.0000 0.3905 (multiplicity 2)  4 Cr 2.09, 2 Mn 2.24
Pd 0.5000 0.0000 0.6110 (multiplicity 2)  4 Mn 2.70, 4 Au 2.88, 4 Pd 2.90-2.94
Au 0.0000 0.0000 0.2396 (multiplicity 2)  1 B 2.36

energy of formation	22	kJ/mol of formula units
distance to the lowest polymorph of the same formula	36	meV/atom
Fermi-level density of states	3.56	states/eV/f.u.



Entry 3:
Hf4Ti2Bi: optimized geometry, GGA-PBE.

a = 5.3528 Å, b = 5.3528 Å, c = 13.3348 Å
α = 90.00°, β = 90.00°, γ = 90.00°
With the nearest neighbours (Å) after each atom.
Space group I4/mmm (No. 139)
Asymmetric unit:
Hf 0.0000 0.0000 0.2121 (multiplicity 4)  1 Ti 2.63, 1 Bi 2.83
Hf 0.0000 0.5000 0.0000 (multiplicity 4)  2 Bi 2.68, 4 Ti 2.94
Ti 0.0000 0.0000 0.4090 (multiplicity 4)  1 Ti 2.43, 1 Hf 2.63
Bi 0.0000 0.0000 0.0000 (multiplicity 2)  6 Hf 2.68-2.83

energy of formation	832	kJ/mol of formula units
distance to the lowest polymorph of the same formula	1016	meV/atom
Fermi-level density of states	9.27	states/eV/f.u.



Entry 4:
NaZn2Hg2: optimized geometry, GGA-PBE.

a = 4.0760 Å, b = 4.0760 Å, c = 13.5537 Å
α = 90.00°, β = 90.00°, γ = 90.00°
With the nearest neighbours (Å) after each atom.
Space group I4/mmm (No. 139)
Asymmetric unit:
Na 0.0000 0.0000 0.0000 (multiplicity 2)  8 Hg 3.23
Zn 0.0000 0.5000 0.2500 (multiplicity 4)  4 Hg 2.81, 4 Zn 2.88
Hg 0.0000 0.0000 0.3932 (multiplicity 4)  4 Zn 2.81, 1 Hg 2.89

energy of formation	-20	kJ/mol of formula units
distance to the lowest polymorph of the same formula	0	meV/atom
Fermi-level density of states	1.64	states/eV/f.u.



Entry 5:
ZnInGa: optimized geometry, GGA-PBE.

a = 8.0791 Å, b = 4.2163 Å, c = 7.5516 Å
α = 90.00°, β = 90.00°, γ = 90.00°
With the nearest neighbours (Å) after each atom.
Space group Pnma (No. 62)
Asymmetric unit:
Zn 0.0859 0.2500 0.0769 (multiplicity 4)  3 Ga 2.67-2.73, 3 In 2.78-2.92, 2 Zn 2.78
In 0.2135 0.2500 0.4183 (multiplicity 4)  4 Zn 2.78-3.01, 3 Ga 2.79-3.07
Ga 0.0268 0.2500 0.7287 (multiplicity 4)  3 Zn 2.67-2.73, 1 In 2.79

energy of formation	24	kJ/mol of formula units
Fermi-level density of states	1.13	states/eV/f.u.



Entry 6:
UPbSe4: optimized geometry, GGA-PBE.

a = 9.2565 Å, b = 12.0017 Å, c = 8.3202 Å
α = 90.00°, β = 90.00°, γ = 90.00°
With the nearest neighbours (Å) after each atom.
Space group Cmcm (No. 63)
Asymmetric unit:
U 0.0000 0.0096 0.2500 (multiplicity 4)  6 Se 2.62-2.77
Pb 0.0000 0.3459 0.7500 (multiplicity 4)  4 Se 2.81-3.10
Se 0.0000 0.1494 0.5081 (multiplicity 8)  2 U 2.73-2.77
Se 0.2184 0.4920 0.2500 (multiplicity 8)  1 U 2.62, 1 Pb 2.81

uncorrected formation energy	-0.589	eV/atom
Fermi-level density of states	1.13	states/eV/f.u.



Entry 7:
CdTeRuI2: optimized geometry, GGA-PBE.

a = 5.6213 Å, b = 5.6213 Å, c = 5.0332 Å
α = 90.00°, β = 90.00°, γ = 90.00°
With the nearest neighbours (Å) after each atom.
Space group P4/mmm (No. 123)
Asymmetric unit:
Cd 0.0000 0.0000 0.0000 (multiplicity 1)  8 I 3.77, 4 Te 3.97
Te 0.5000 0.5000 0.0000 (multiplicity 1)  2 Ru 2.52
Ru 0.5000 0.5000 0.5000 (multiplicity 1)  2 Te 2.52, 4 I 2.81
I 0.0000 0.5000 0.5000 (multiplicity 2)  2 Ru 2.81

uncorrected formation energy	0.299	eV/atom
distance to the lowest polymorph of the same formula	0	meV/atom
Fermi-level density of states	4.78	states/eV/f.u.



Entry 8:
NaTl3Sb2Se6: optimized geometry, GGA-PBE.

a = 7.3527 Å, b = 12.7051 Å, c = 7.5612 Å
α = 90.00°, β = 108.99°, γ = 90.00°
With the nearest neighbours (Å) after each atom.
Space group C2/m (No. 12)
Asymmetric unit:
Na 0.0000 0.0000 0.0000 (multiplicity 2)  6 Se 2.98-3.04
Tl 0.0000 0.1585 0.5000 (multiplicity 4)  6 Se 3.10-3.20
Tl 0.0000 0.5000 0.5000 (multiplicity 2)  6 Se 3.12-3.15
Sb 0.0000 0.3318 0.0000 (multiplicity 4)  6 Se 2.86-2.90
Se 0.2239 0.5000 0.2139 (multiplicity 4)  2 Sb 2.86, 1 Na 2.98, 3 Tl 3.12-3.16
Se 0.2466 0.3263 0.7716 (multiplicity 8)  2 Sb 2.88-2.90, 1 Na 3.04, 3 Tl 3.10-3.20

uncorrected formation energy	-0.405	eV/atom
Fermi-level density of states	6.83	states/eV/f.u.